[1]
# RbWBr4 PBE optimized geometry
data_RbWBr4
_chemical_formula_sum 'Rb4 W4 Br16'
_cell_length_a 22.055
_cell_length_b 7.246
_cell_length_c 5.455
_cell_angle_alpha 90.00
_cell_angle_beta 103.18
_cell_angle_gamma 90.00
_symmetry_space_group_name_H-M 'C 1 2/m 1'
_symmetry_Int_Tables_number 12
_symmetry_space_group_name_Hall '-C 2y'
loop_
_atom_site_label
_atom_site_fract_x
_atom_site_fract_y
_atom_site_fract_z
_atom_site_occupancy
Rb1 0.206 0.000 0.192 1
W1 0.040 0.500 0.684 1
Br1 0.000 0.277 0.000 1
Br2 0.105 0.248 0.603 1
Br3 0.205 0.500 0.226 1
# Uncorrected formation energy ... -0.775 eV per atom
# VASP energy ... -4.2099 eV per atom

***

[2]
# Rb2WBr PBE optimized geometry
data_Rb2WBr
_chemical_formula_sum 'Rb8 W4 Br4'
_cell_length_a 13.077
_cell_length_b 13.077
_cell_length_c 4.849
_cell_angle_alpha 90.00
_cell_angle_beta 90.00
_cell_angle_gamma 90.00
_symmetry_space_group_name_H-M 'I -4 2 d'
_symmetry_Int_Tables_number 122
_symmetry_space_group_name_Hall 'I -4 2bw'
loop_
_atom_site_label
_atom_site_fract_x
_atom_site_fract_y
_atom_site_fract_z
_atom_site_occupancy
Rb1 0.077 0.750 0.125 1
W1 0.000 0.000 0.500 1
Br1 0.000 0.000 0.000 1
# Energy above the most stable polymorph in this dataset ... 150 meV per atom
# Uncorrected formation energy ... 0.977 eV per atom
# VASP energy ... -3.1632 eV per atom